VASP calculation (PBE) on a relaxed structure of HfReB.

Computed properties:
DFT formation energy ... -0.2842 eV/atom
Volume ... 14.23 Å³/atom

a = 3.8565 Å, b = 3.3528 Å, c = 6.6016 Å
α = 90.00°, β = 90.00°, γ = 90.00°
With the nearest neighbours (Å) after each atom.
Sites, in units of the cell vectors:
Hf 0.2500 0.2500 0.3586  5 B 2.62-2.66, 2 Re 2.90
Hf 0.7500 0.7500 0.6414  5 B 2.62-2.66, 2 Re 2.90
B 0.2500 0.2500 0.7558  4 Re 2.33-2.51
B 0.7500 0.7500 0.2442  4 Re 2.33-2.51
Re 0.7500 0.2500 0.9992  4 B 2.33-2.51, 4 Re 2.56
Re 0.2500 0.7500 0.0008  4 B 2.33-2.51, 4 Re 2.56